# LiY2Be

A relaxed structure of LiY2Be (PBE-GGA, Alexandria via LeMat-Bulk).

Summary:
* M_tot: 0.00 μB per formula unit
* calculated formation energy: 0.187 eV per atom
* N(E_F): 0.879 states/eV/atom

Unit cell a=3.4296 b=4.9511 c=10.5426 alpha=90.00 beta=90.00 gamma=90.00
Space group Imm2 (No. 44)
Symmetry-distinct sites (fractional):
Li  0.0000  0.0000  0.0000 [2 per cell]
Y  0.0000  0.0000  0.4081 [2 per cell]
Y  0.0000  0.5000  0.1989 [2 per cell]
Be  0.0000  0.5000  0.6755 [2 per cell]

# LiY2Be2

A relaxed structure of LiY2Be2 (PBE-GGA, Alexandria via LeMat-Bulk).

Summary:
* M_tot: 0.00 μB per formula unit
* calculated formation energy: 0.143 eV per atom
* N(E_F): 1.112 states/eV/atom

Unit cell a=7.5190 b=7.5190 c=3.6862 alpha=90.00 beta=90.00 gamma=90.00
Space group P4/mbm (No. 127)
Symmetry-distinct sites (fractional):
Li  0.0000  0.0000  0.0000 [2 per cell]
Y  0.1755  0.3245  0.5000 [4 per cell]
Be  0.1082  0.6082  0.0000 [4 per cell]

# LiYBe4

A relaxed structure of LiYBe4 (PBE-GGA, Alexandria via LeMat-Bulk).

Summary:
* M_tot: 0.00 μB per formula unit
* calculated formation energy: 0.134 eV per atom
* N(E_F): 0.659 states/eV/atom

Unit cell a=6.7902 b=6.7902 c=6.7902 alpha=90.00 beta=90.00 gamma=90.00
Space group F-43m (No. 216)
Symmetry-distinct sites (fractional):
Li  0.0000  0.0000  0.0000 [4 per cell]
Y  0.2500  0.2500  0.7500 [4 per cell]
Be  0.1272  0.1272  0.3728 [16 per cell]

# LiY2Be

A relaxed structure of LiY2Be (PBE-GGA, Alexandria via LeMat-Bulk).

Summary:
* M_tot: 0.00 μB per formula unit
* calculated formation energy: 0.459 eV per atom
* N(E_F): 1.701 states/eV/atom

Unit cell a=7.8827 b=7.8827 c=6.2344 alpha=90.00 beta=90.00 gamma=90.00
Space group I-42d (No. 122)
Symmetry-distinct sites (fractional):
Li  0.0000  0.0000  0.0000 [4 per cell]
Y  0.2180  0.2500  0.6250 [8 per cell]
Be  0.0000  0.0000  0.5000 [4 per cell]